# 1
# PrHoAsO (PBE, optimized geometry)
data_PrHoAsO
_chemical_formula_sum 'Pr2 Ho2 As2 O2'
_cell_length_a 4.429
_cell_length_b 4.429
_cell_length_c 9.023
_cell_angle_alpha 90.00
_cell_angle_beta 90.00
_cell_angle_gamma 90.00
_space_group_name_H-M_alt 'P 4/n m m'
_space_group_IT_number 129
loop_
_space_group_symop_operation_xyz
'x,y,z'
'-x,-y,-z'
'-y+1/2,x,z'
'y+1/2,-x,-z'
'-x+1/2,-y+1/2,z'
'x+1/2,y+1/2,-z'
'y,-x+1/2,z'
'-y,x+1/2,-z'
'x+1/2,-y,-z'
'-x+1/2,y,z'
'-y,-x,-z'
'y,x,z'
'-x,y+1/2,-z'
'x,-y+1/2,z'
'y+1/2,x+1/2,-z'
'-y+1/2,-x+1/2,z'
loop_
_atom_site_label
_atom_site_type_symbol
_atom_site_fract_x
_atom_site_fract_y
_atom_site_fract_z
Pr1 Pr 0.250 0.250 0.112
Ho1 Ho 0.250 0.750 0.500
As1 As 0.250 0.250 0.694
O1 O 0.250 0.750 0.000
# DFT total energy = -26.59 eV per formula unit

=====

# 2
# SrLaGe4Pd2 (PBE, optimized geometry)
data_SrLaGe4Pd2
_chemical_formula_sum 'Sr2 La2 Ge8 Pd4'
_cell_length_a 4.404
_cell_length_b 4.440
_cell_length_c 17.850
_cell_angle_alpha 90.00
_cell_angle_beta 90.00
_cell_angle_gamma 90.00
_space_group_name_H-M_alt 'A m m 2'
_space_group_IT_number 38
_space_group_name_Hall 'A 2 -2'
loop_
_atom_site_label
_atom_site_type_symbol
_atom_site_fract_x
_atom_site_fract_y
_atom_site_fract_z
Sr1 Sr 0.000 0.000 0.000
La1 La 0.500 0.000 0.215
Ge1 Ge 0.000 0.000 0.357
Ge2 Ge 0.000 0.000 0.645
Ge3 Ge 0.500 0.000 0.570
Ge4 Ge 0.500 0.000 0.855
Pd1 Pd 0.000 0.000 0.783
Pd2 Pd 0.500 0.000 0.428
# DFT total energy = -41.35 eV per formula unit

=====

# 3
# BaGaAu2 (PBE, optimized geometry)
data_BaGaAu2
_chemical_formula_sum 'Ba2 Ga2 Au4'
_cell_length_a 6.270
_cell_length_b 4.707
_cell_length_c 7.202
_cell_angle_alpha 90.00
_cell_angle_beta 90.25
_cell_angle_gamma 90.00
_space_group_name_H-M_alt 'P 1 21/m 1'
_space_group_IT_number 11
_space_group_name_Hall '-P 2yb'
loop_
_atom_site_label
_atom_site_type_symbol
_atom_site_fract_x
_atom_site_fract_y
_atom_site_fract_z
Ba1 Ba 0.127 0.250 0.250
Ga1 Ga 0.354 0.250 0.749
Au1 Au 0.366 0.750 0.957
Au2 Au 0.367 0.750 0.543
# DFT total energy = -13.72 eV per formula unit

=====

# 4
# ReTe2Se3 (PBE, optimized geometry)
data_ReTe2Se3
_chemical_formula_sum 'Re2 Te4 Se6'
_cell_length_a 7.007
_cell_length_b 7.189
_cell_length_c 8.036
_cell_angle_alpha 63.65
_cell_angle_beta 83.74
_cell_angle_gamma 62.60
_space_group_name_H-M_alt 'P -1'
_space_group_IT_number 2
_space_group_name_Hall '-P 1'
loop_
_atom_site_label
_atom_site_type_symbol
_atom_site_fract_x
_atom_site_fract_y
_atom_site_fract_z
Re1 Re 0.000 0.216 0.000
Te1 Te 0.003 0.259 0.481
Te2 Te 0.283 0.946 0.851
Se1 Se 0.214 0.455 0.896
Se2 Se 0.235 0.973 0.310
Se3 Se 0.237 0.507 0.307
# DFT total energy = -29.34 eV per formula unit

=====

# 5
# HoRe2 (PBE, optimized geometry)
data_HoRe2
_chemical_formula_sum 'Ho4 Re8'
_cell_length_a 6.307
_cell_length_b 6.307
_cell_length_c 6.307
_cell_angle_alpha 90.00
_cell_angle_beta 90.00
_cell_angle_gamma 90.00
_space_group_name_H-M_alt 'F m -3 m'
_space_group_IT_number 225
_space_group_name_Hall '-F 4 2 3'
loop_
_atom_site_label
_atom_site_type_symbol
_atom_site_fract_x
_atom_site_fract_y
_atom_site_fract_z
Ho1 Ho 0.000 0.000 0.000
Re1 Re 0.250 0.250 0.250
# DFT total energy = -23.49 eV per formula unit

=====

# 6
# YNiSnMo (PBE, optimized geometry)
data_YNiSnMo
_chemical_formula_sum 'Y4 Ni4 Sn4 Mo4'
_cell_length_a 6.655
_cell_length_b 6.655
_cell_length_c 6.655
_cell_angle_alpha 90.00
_cell_angle_beta 90.00
_cell_angle_gamma 90.00
_space_group_name_H-M_alt 'F -4 3 m'
_space_group_IT_number 216
_space_group_name_Hall 'F -4 2 3'
loop_
_atom_site_label
_atom_site_type_symbol
_atom_site_fract_x
_atom_site_fract_y
_atom_site_fract_z
Y1 Y 0.000 0.000 0.000
Ni1 Ni 0.250 0.250 0.750
Sn1 Sn 0.000 0.000 0.500
Mo1 Mo 0.250 0.250 0.250
# DFT total energy = -26.41 eV per formula unit

=====

# 7
# Tb2AlIn3Ni2 (PBE, optimized geometry)
data_Tb2AlIn3Ni2
_chemical_formula_sum 'Tb4 Al2 In6 Ni4'
_cell_length_a 10.431
_cell_length_b 4.272
_cell_length_c 7.265
_cell_angle_alpha 90.00
_cell_angle_beta 90.55
_cell_angle_gamma 90.00
_space_group_name_H-M_alt 'C 1 m 1'
_space_group_IT_number 8
_space_group_name_Hall 'C -2y'
loop_
_atom_site_label
_atom_site_type_symbol
_atom_site_fract_x
_atom_site_fract_y
_atom_site_fract_z
Tb1 Tb 0.000 0.000 0.000
Tb2 Tb 0.134 0.000 0.518
Al1 Al 0.218 0.500 0.809
In1 In 0.207 0.500 0.201
In2 In 0.417 0.000 0.301
In3 In 0.425 0.000 0.705
Ni1 Ni 0.270 0.000 0.988
Ni2 Ni 0.340 0.500 0.515
# DFT total energy = -36.22 eV per formula unit

=====

# 8
# NbFeGePt (PBE, optimized geometry)
data_NbFeGePt
_chemical_formula_sum 'Nb4 Fe4 Ge4 Pt4'
_cell_length_a 6.256
_cell_length_b 6.256
_cell_length_c 6.256
_cell_angle_alpha 90.00
_cell_angle_beta 90.00
_cell_angle_gamma 90.00
_space_group_name_H-M_alt 'F -4 3 m'
_space_group_IT_number 216
_space_group_name_Hall 'F -4 2 3'
loop_
_atom_site_label
_atom_site_type_symbol
_atom_site_fract_x
_atom_site_fract_y
_atom_site_fract_z
Nb1 Nb 0.000 0.000 0.000
Fe1 Fe 0.250 0.250 0.750
Ge1 Ge 0.000 0.000 0.500
Pt1 Pt 0.250 0.250 0.250
# DFT total energy = -29.52 eV per formula unit

=====

# 9
# InAgTe2 (PBE, optimized geometry)
data_InAgTe2
_chemical_formula_sum 'In4 Ag4 Te8'
_cell_length_a 6.529
_cell_length_b 6.529
_cell_length_c 12.937
_cell_angle_alpha 90.00
_cell_angle_beta 90.00
_cell_angle_gamma 90.00
_space_group_name_H-M_alt 'I -4 2 d'
_space_group_IT_number 122
_space_group_name_Hall 'I -4 2bw'
loop_
_atom_site_label
_atom_site_type_symbol
_atom_site_fract_x
_atom_site_fract_y
_atom_site_fract_z
In1 In 0.000 0.000 0.000
Ag1 Ag 0.000 0.000 0.500
Te1 Te 0.245 0.250 0.625
# DFT total energy = -13.01 eV per formula unit

=====

# 10
# GdYNi4 (PBE, optimized geometry)
data_GdYNi4
_chemical_formula_sum 'Gd2 Y2 Ni8'
_cell_length_a 5.3602
_cell_length_b 5.3602
_cell_length_c 8.0837
_cell_angle_alpha 90.00
_cell_angle_beta 90.00
_cell_angle_gamma 120.00
_space_group_name_H-M_alt 'P 6/m m m'
_space_group_IT_number 191
_space_group_name_Hall '-P 6 2'
loop_
_atom_site_label
_atom_site_type_symbol
_atom_site_fract_x
_atom_site_fract_y
_atom_site_fract_z
Gd1 Gd 0.3333 0.6667 0.0000
Y1 Y 0.0000 0.0000 0.0000
Y2 Y 0.0000 0.0000 0.5000
Ni1 Ni 0.0000 0.5000 0.2759
Ni2 Ni 0.3333 0.6667 0.5000
# DFT total energy = -33.31 eV per formula unit

=====

# 11
# BeTlCu (PBE, optimized geometry)
data_BeTlCu
_chemical_formula_sum 'Be4 Tl4 Cu4'
_cell_length_a 5.997
_cell_length_b 5.997
_cell_length_c 5.997
_cell_angle_alpha 90.00
_cell_angle_beta 90.00
_cell_angle_gamma 90.00
_space_group_name_H-M_alt 'F -4 3 m'
_space_group_IT_number 216
_space_group_name_Hall 'F -4 2 3'
loop_
_atom_site_label
_atom_site_type_symbol
_atom_site_fract_x
_atom_site_fract_y
_atom_site_fract_z
Be1 Be 0.000 0.000 0.000
Tl1 Tl 0.250 0.250 0.250
Cu1 Cu 0.000 0.000 0.500
# DFT total energy = -7.72 eV per formula unit

=====

# 12
# CuBiMo4N2 (PBE, optimized geometry)
data_CuBiMo4N2
_chemical_formula_sum 'Cu1 Bi1 Mo4 N2'
_cell_length_a 3.2517
_cell_length_b 3.2517
_cell_length_c 12.7333
_cell_angle_alpha 90.00
_cell_angle_beta 90.00
_cell_angle_gamma 120.00
_space_group_name_H-M_alt 'P -6 m 2'
_space_group_IT_number 187
_space_group_name_Hall 'P -6 2'
loop_
_atom_site_label
_atom_site_type_symbol
_atom_site_fract_x
_atom_site_fract_y
_atom_site_fract_z
Cu1 Cu 0.0000 0.0000 0.0000
Bi1 Bi 0.6667 0.3333 0.5000
Mo1 Mo 0.0000 0.0000 0.3044
Mo2 Mo 0.6667 0.3333 0.1471
N1 N 0.3333 0.6667 0.2352
# DFT total energy = -66.21 eV per formula unit